The following is a PBE with a Hubbard U calculation of a geometry-optimized FeAg2F6 structure, from Alexandria via LeMat-Bulk.

Cell and atoms, written as POSCAR:
```
FeAg2F6
1.0
-2.0619 4.6077 -0.3649
-3.3528 -1.2160 3.5910
6.5541 3.5117 7.3084
F Ag Fe
12 4 2
direct
0.3132 0.3132 0.8590
0.1868 0.8132 0.6410
0.1868 0.8132 0.3590
0.3132 0.3132 0.1410
0.2685 0.2685 0.5000
0.8132 0.1868 0.6410
0.6868 0.6868 0.1410
0.2315 0.7685 0.0000
0.8132 0.1868 0.3590
0.6868 0.6868 0.8590
0.7315 0.7315 0.5000
0.7685 0.2315 0.0000
0.0000 0.0000 0.1621
0.5000 0.5000 0.6621
0.5000 0.5000 0.3379
0.0000 0.0000 0.8379
0.0000 0.0000 0.5000
0.5000 0.5000 0.0000
```

Output
The volume comes out at 14.837 A^3/atom. Its total energy is -4.21 eV/atom.